Entry 1:
DFT (GGA-PBE) results for a relaxed SrNdAgIr crystal.

As for the crystal system: cubic. The formation energy is -271 meV/atom. For the volume, the calculation gives 394.9 Å³/cell. The calculation puts the magnetization at 0.00 μB/f.u.

The structure belongs to space group F-43m (No. 216); the cell edges are 7.336, 7.336 and 7.336 Å and the angles 90.00°, 90.00° and 90.00°. The asymmetric unit holds Sr at (0.000, 0.000, 0.000), Nd at (0.000, 0.000, 0.500), Ag at (0.250, 0.250, 0.250) and Ir at (0.250, 0.250, 0.750).

***

Entry 2:
DFT (GGA-PBE) results for a relaxed Na2NdPuS4 crystal.

As for the crystal system: monoclinic. Its energy relative to the elements, uncorrected is -1656 meV/atom. For the volume, the calculation gives 193.4 Å³/cell. The calculation puts the magnetization at 5.00 μB/f.u.

The structure belongs to space group P2/m (No. 10); the cell edges are 7.072, 4.096 and 7.091 Å and the angles 90.00°, 109.66° and 90.00°. The asymmetric unit holds Na at (0.000, 0.000, 0.000), Na at (0.000, 0.500, 0.500), Nd at (0.500, 0.000, 0.500), Pu at (0.500, 0.500, 0.000), S at (0.267, 0.500, 0.251) and S at (0.273, 0.000, 0.764).

***

Entry 3:
DFT (GGA-PBE) results for a relaxed Pr3Ga7Ir2 crystal.

As for the crystal system: orthorhombic. The formation energy is -553 meV/atom. For the volume, the calculation gives 510.9 Å³/cell. The calculation puts the magnetization at 0.00 μB/f.u.

The structure belongs to space group Cmmm (No. 65); the cell edges are 4.300, 27.426 and 4.333 Å and the angles 90.00°, 90.00° and 90.00°. The asymmetric unit holds Pr at (0.000, 0.000, 0.000), Pr at (0.000, 0.178, 0.000), Ga at (0.000, 0.085, 0.500), Ga at (0.000, 0.275, 0.500), Ga at (0.000, 0.414, 0.000), Ga at (0.000, 0.500, 0.500) and Ir at (0.000, 0.365, 0.500).